1) Material: Mo2OsCl
Method: DFT, SCAN
State: PBEsol geometry

Cell: 5.2613 8.2443 2.8374 Å, 90.00 106.47 90.00°
Last column: nearest neighbours and their distance in Å.
Fractional coordinates of all 8 atoms:
Mo 0.2500 0.2500 0.0000  4 Mo 2.63-2.84, 2 Cl 2.63, 2 Os 2.63
Mo 0.2500 0.7500 0.0000  4 Mo 2.63-2.84, 2 Cl 2.63, 2 Os 2.63
Mo 0.7500 0.2500 0.0000  4 Mo 2.63-2.84, 2 Cl 2.63, 2 Os 2.63
Mo 0.7500 0.7500 0.0000  4 Mo 2.63-2.84, 2 Cl 2.63, 2 Os 2.63
Os 0.0000 0.0000 0.5000  2 Cl 2.63, 4 Mo 2.63, 2 Os 2.84
Os 0.5000 0.5000 0.5000  2 Cl 2.63, 4 Mo 2.63, 2 Os 2.84
Cl 0.0000 0.5000 0.5000  2 Os 2.63, 4 Mo 2.63, 2 Cl 2.84
Cl 0.5000 0.0000 0.5000  2 Os 2.63, 4 Mo 2.63, 2 Cl 2.84

Results
SG: C2/m, No. 12

2) Material: Mo2OsCl
Method: DFT, SCAN
State: PBEsol geometry

Cell: 3.6652 3.6652 8.9165 Å, 90.00 90.00 90.00°
Last column: nearest neighbours and their distance in Å.
Fractional coordinates of all 8 atoms:
Mo 0.0000 0.0000 0.0000  4 Os 2.59, 4 Cl 2.89, 4 Mo 2.89
Mo 0.0000 0.5000 0.2500  4 Cl 2.59, 4 Mo 2.89, 4 Os 2.89
Mo 0.5000 0.0000 0.7500  4 Cl 2.59, 4 Mo 2.89, 4 Os 2.89
Mo 0.5000 0.5000 0.5000  4 Os 2.59, 4 Cl 2.89, 4 Mo 2.89
Os 0.0000 0.0000 0.5000  8 Mo 2.59-2.89, 4 Cl 2.89
Os 0.5000 0.5000 0.0000  8 Mo 2.59-2.89, 4 Cl 2.89
Cl 0.0000 0.5000 0.7500  8 Mo 2.59-2.89, 4 Os 2.89
Cl 0.5000 0.0000 0.2500  8 Mo 2.59-2.89, 4 Os 2.89

Results
SG: I-4m2, No. 119

3) Material: Mo2OsCl
Method: DFT, SCAN
State: PBEsol geometry

Cell: 6.2077 6.2077 6.2077 Å, 90.00 90.00 90.00°
Last column: nearest neighbours and their distance in Å.
Fractional coordinates of all 16 atoms:
Mo 0.0000 0.0000 0.0000  4 Mo 2.69, 4 Cl 2.69
Mo 0.0000 0.5000 0.5000  4 Mo 2.69, 4 Cl 2.69
Mo 0.2500 0.2500 0.2500  4 Mo 2.69, 4 Os 2.69
Mo 0.2500 0.7500 0.7500  4 Mo 2.69, 4 Os 2.69
Mo 0.5000 0.0000 0.5000  4 Mo 2.69, 4 Cl 2.69
Mo 0.5000 0.5000 0.0000  4 Mo 2.69, 4 Cl 2.69
Mo 0.7500 0.2500 0.7500  4 Mo 2.69, 4 Os 2.69
Mo 0.7500 0.7500 0.2500  4 Os 2.69, 4 Mo 2.69
Os 0.0000 0.0000 0.5000  4 Cl 2.69, 4 Mo 2.69
Os 0.0000 0.5000 0.0000  4 Cl 2.69, 4 Mo 2.69
Os 0.5000 0.0000 0.0000  4 Cl 2.69, 4 Mo 2.69
Os 0.5000 0.5000 0.5000  4 Cl 2.69, 4 Mo 2.69
Cl 0.2500 0.2500 0.7500  4 Mo 2.69, 4 Os 2.69
Cl 0.2500 0.7500 0.2500  4 Mo 2.69, 4 Os 2.69
Cl 0.7500 0.2500 0.2500  4 Mo 2.69, 4 Os 2.69
Cl 0.7500 0.7500 0.7500  4 Mo 2.69, 4 Os 2.69

Results
SG: F-43m, No. 216

Most stable: 1). Least stable: 2).

1) Material: MoP2Cl
Method: DFT, SCAN
State: PBEsol geometry

Cell: 3.1694 3.3479 13.7055 Å, 90.00 90.00 90.00°
Last column: nearest neighbours and their distance in Å.
Fractional coordinates of all 8 atoms:
Mo 0.0000 0.0000 0.0000  4 P 2.43, 2 Cl 2.50
Mo 0.5000 0.5000 0.5000  4 P 2.43, 2 Cl 2.50
P 0.0000 0.0000 0.4432  2 P 2.21, 4 Mo 2.43
P 0.0000 0.5000 0.3378  2 P 2.21
P 0.5000 0.0000 0.8378  2 P 2.21
P 0.5000 0.5000 0.9432  2 P 2.21, 4 Mo 2.43
Cl 0.0000 0.5000 0.6411  2 Mo 2.50
Cl 0.5000 0.0000 0.1411  2 Mo 2.50

Results
SG: Imm2, No. 44

2) Material: MoP2Cl
Method: DFT, SCAN
State: PBEsol geometry

Cell: 4.6128 8.3677 3.1491 Å, 90.00 90.00 90.00°
Last column: nearest neighbours and their distance in Å.
Fractional coordinates of all 8 atoms:
Mo 0.0000 0.0000 0.0000  2 Cl 2.31
Mo 0.5000 0.5000 0.0000  2 Cl 2.31
P 0.2500 0.2500 0.5000  2 P 2.31
P 0.2500 0.7500 0.5000  2 P 2.31
P 0.7500 0.2500 0.5000  2 P 2.31
P 0.7500 0.7500 0.5000  2 P 2.31
Cl 0.0000 0.5000 0.0000  2 Mo 2.31
Cl 0.5000 0.0000 0.0000  2 Mo 2.31

Results
SG: Cmmm, No. 65

3) Material: MoP2Cl
Method: DFT, SCAN
State: PBEsol geometry

Cell: 6.1788 6.1788 6.1788 Å, 90.00 90.00 90.00°
Last column: nearest neighbours and their distance in Å.
Fractional coordinates of all 16 atoms:
Mo 0.0000 0.0000 0.0000  8 P 2.68
Mo 0.0000 0.5000 0.5000  8 P 2.68
Mo 0.5000 0.0000 0.5000  8 P 2.68
Mo 0.5000 0.5000 0.0000  8 P 2.68
P 0.2500 0.2500 0.2500  4 Cl 2.68, 4 Mo 2.68
P 0.2500 0.2500 0.7500  4 Cl 2.68, 4 Mo 2.68
P 0.2500 0.7500 0.2500  4 Cl 2.68, 4 Mo 2.68
P 0.2500 0.7500 0.7500  4 Cl 2.68, 4 Mo 2.68
P 0.7500 0.2500 0.2500  4 Cl 2.68, 4 Mo 2.68
P 0.7500 0.2500 0.7500  4 Cl 2.68, 4 Mo 2.68
P 0.7500 0.7500 0.2500  4 Cl 2.68, 4 Mo 2.68
P 0.7500 0.7500 0.7500  4 Mo 2.68, 4 Cl 2.68
Cl 0.0000 0.0000 0.5000  8 P 2.68
Cl 0.0000 0.5000 0.0000  8 P 2.68
Cl 0.5000 0.0000 0.0000  8 P 2.68
Cl 0.5000 0.5000 0.5000  8 P 2.68

Results
SG: Fm-3m, No. 225

Most stable: 1). Least stable: 3).

1) Material: MoP2SeCl
Method: DFT, SCAN
State: PBEsol geometry

Cell: 4.7171 4.7171 4.6392 Å, 90.00 90.00 90.00°
Last column: nearest neighbours and their distance in Å.
Fractional coordinates of all 5 atoms:
Mo 0.0000 0.0000 0.0000  8 P 3.31, 4 Cl 3.34
P 0.0000 0.5000 0.5000  2 Se 2.36
P 0.5000 0.0000 0.5000  2 Se 2.36
Se 0.5000 0.5000 0.5000  2 Cl 2.32, 4 P 2.36
Cl 0.5000 0.5000 0.0000  2 Se 2.32

Results
SG: P4/mmm, No. 123

2) Material: MoP2SeCl
Method: DFT, SCAN
State: PBEsol geometry

Cell: 4.7276 4.7276 4.4882 Å, 90.00 90.00 90.00°
Last column: nearest neighbours and their distance in Å.
Fractional coordinates of all 5 atoms:
Mo 0.0000 0.0000 0.0000  2 Cl 2.24, 4 P 2.36
P 0.0000 0.5000 0.0000  2 Mo 2.36
P 0.5000 0.0000 0.0000  2 Mo 2.36
Se 0.5000 0.5000 0.5000  8 P 3.26, 4 Cl 3.34
Cl 0.0000 0.0000 0.5000  2 Mo 2.24

Results
SG: P4/mmm, No. 123

Most stable: 2). Least stable: 1).

1) Material: MoPt2Cl
Method: DFT, SCAN
State: PBEsol geometry

Cell: 3.8784 3.8784 8.1743 Å, 90.00 90.00 90.00°
Last column: nearest neighbours and their distance in Å.
Fractional coordinates of all 8 atoms:
Mo 0.0000 0.0000 0.0000  4 Cl 2.74, 8 Pt 2.82
Mo 0.5000 0.5000 0.5000  4 Cl 2.74, 8 Pt 2.82
Pt 0.0000 0.5000 0.2500  4 Pt 2.74, 4 Mo 2.82, 4 Cl 2.82
Pt 0.0000 0.5000 0.7500  4 Pt 2.74, 4 Cl 2.82, 4 Mo 2.82
Pt 0.5000 0.0000 0.2500  4 Pt 2.74, 4 Mo 2.82, 4 Cl 2.82
Pt 0.5000 0.0000 0.7500  4 Pt 2.74, 4 Cl 2.82, 4 Mo 2.82
Cl 0.0000 0.0000 0.5000  4 Mo 2.74, 8 Pt 2.82
Cl 0.5000 0.5000 0.0000  4 Mo 2.74, 8 Pt 2.82

Results
SG: I4/mmm, No. 139

2) Material: MoPt2Cl
Method: DFT, SCAN
State: PBEsol geometry

Cell: 2.8098 3.9471 5.5509 Å, 90.00 90.00 90.00°
Last column: nearest neighbours and their distance in Å.
Fractional coordinates of all 4 atoms:
Mo 0.0000 0.0000 0.0000  8 Pt 2.77, 2 Cl 2.78, 2 Mo 2.81
Pt 0.5000 0.5000 0.2404  4 Pt 2.67-2.88, 4 Mo 2.77, 4 Cl 2.82
Pt 0.5000 0.5000 0.7596  4 Pt 2.67-2.88, 4 Mo 2.77, 4 Cl 2.82
Cl 0.0000 0.0000 0.5000  2 Mo 2.78, 2 Cl 2.81, 8 Pt 2.82

Results
SG: Pmmm, No. 47

Most stable: 2). Least stable: 1).

1) Material: MoPt2Cl
Method: DFT, SCAN
State: PBEsol geometry

Cell: 4.4902 2.7539 5.1490 Å, 90.00 104.96 90.00°
Last column: nearest neighbours and their distance in Å.
Fractional coordinates of all 4 atoms:
Mo 0.0000 0.0000 0.0000  4 Cl 2.63, 2 Mo 2.75, 6 Pt 2.92-2.95
Pt 0.0000 0.5000 0.5000  6 Pt 2.63-2.75, 4 Mo 2.92, 2 Cl 2.95
Pt 0.5000 0.0000 0.5000  6 Pt 2.63-2.75, 4 Cl 2.92, 2 Mo 2.95
Cl 0.5000 0.5000 0.0000  4 Mo 2.63, 2 Cl 2.75, 6 Pt 2.92-2.95

Results
SG: P2/m, No. 10

2) Material: MoPt2Cl
Method: DFT, SCAN
State: PBEsol geometry

Cell: 6.3185 6.3185 6.3185 Å, 90.00 90.00 90.00°
Last column: nearest neighbours and their distance in Å.
Fractional coordinates of all 16 atoms:
Mo 0.0000 0.0000 0.0000  8 Pt 2.74
Mo 0.0000 0.5000 0.5000  8 Pt 2.74
Mo 0.5000 0.0000 0.5000  8 Pt 2.74
Mo 0.5000 0.5000 0.0000  8 Pt 2.74
Pt 0.2500 0.2500 0.2500  4 Cl 2.74, 4 Mo 2.74
Pt 0.2500 0.2500 0.7500  4 Cl 2.74, 4 Mo 2.74
Pt 0.2500 0.7500 0.2500  4 Cl 2.74, 4 Mo 2.74
Pt 0.2500 0.7500 0.7500  4 Cl 2.74, 4 Mo 2.74
Pt 0.7500 0.2500 0.2500  4 Cl 2.74, 4 Mo 2.74
Pt 0.7500 0.2500 0.7500  4 Cl 2.74, 4 Mo 2.74
Pt 0.7500 0.7500 0.2500  4 Cl 2.74, 4 Mo 2.74
Pt 0.7500 0.7500 0.7500  4 Cl 2.74, 4 Mo 2.74
Cl 0.0000 0.0000 0.5000  8 Pt 2.74
Cl 0.0000 0.5000 0.0000  8 Pt 2.74
Cl 0.5000 0.0000 0.0000  8 Pt 2.74
Cl 0.5000 0.5000 0.5000  8 Pt 2.74

Results
SG: Fm-3m, No. 225

Most stable: 1). Least stable: 2).

1) Material: RbMoCl2
Method: DFT, SCAN
State: PBEsol geometry

Cell: 3.2360 3.2360 28.2344 Å, 90.00 90.00 120.00°
Last column: nearest neighbours and their distance in Å.
Fractional coordinates of all 12 atoms:
Rb 0.0000 0.0000 0.0000  6 Cl 3.03, 6 Rb 3.24
Rb 0.3333 0.6667 0.6667  6 Cl 3.03, 6 Rb 3.24
Rb 0.6667 0.3333 0.3333  6 Cl 3.03, 6 Rb 3.24
Mo 0.0000 0.0000 0.5000  2 Cl 2.32
Mo 0.3333 0.6667 0.1667  2 Cl 2.32
Mo 0.6667 0.3333 0.8333  2 Cl 2.32
Cl 0.0000 0.0000 0.4178  1 Mo 2.32
Cl 0.0000 0.0000 0.5822  1 Mo 2.32
Cl 0.3333 0.6667 0.0845  1 Mo 2.32
Cl 0.3333 0.6667 0.2489  1 Mo 2.32
Cl 0.6667 0.3333 0.7511  1 Mo 2.32
Cl 0.6667 0.3333 0.9155  1 Mo 2.32

Results
SG: R-3m, No. 166

2) Material: RbMoCl2
Method: DFT, SCAN
State: PBEsol geometry

Cell: 7.3135 7.3135 7.3135 Å, 90.00 90.00 90.00°
Last column: nearest neighbours and their distance in Å.
Fractional coordinates of all 16 atoms:
Rb 0.0000 0.0000 0.0000  8 Cl 3.17
Rb 0.0000 0.5000 0.5000  8 Cl 3.17
Rb 0.5000 0.0000 0.5000  8 Cl 3.17
Rb 0.5000 0.5000 0.0000  8 Cl 3.17
Mo 0.0000 0.0000 0.5000  8 Cl 3.17
Mo 0.0000 0.5000 0.0000  8 Cl 3.17
Mo 0.5000 0.0000 0.0000  8 Cl 3.17
Mo 0.5000 0.5000 0.5000  8 Cl 3.17
Cl 0.2500 0.2500 0.2500  4 Mo 3.17, 4 Rb 3.17
Cl 0.2500 0.2500 0.7500  4 Mo 3.17, 4 Rb 3.17
Cl 0.2500 0.7500 0.2500  4 Mo 3.17, 4 Rb 3.17
Cl 0.2500 0.7500 0.7500  4 Mo 3.17, 4 Rb 3.17
Cl 0.7500 0.2500 0.2500  4 Mo 3.17, 4 Rb 3.17
Cl 0.7500 0.2500 0.7500  4 Mo 3.17, 4 Rb 3.17
Cl 0.7500 0.7500 0.2500  4 Mo 3.17, 4 Rb 3.17
Cl 0.7500 0.7500 0.7500  4 Mo 3.17, 4 Rb 3.17

Results
SG: Fm-3m, No. 225

Most stable: 2). Least stable: 1).